Computed, not measured: an optimized crystal structure of Pm3Y12Cd at the PBE-GGA level of DFT.

Cell: 5.018 5.018 20.306 Å, 90.00 90.00 90.00°
Fractional positions:
Y  0.500  0.500  0.500
Y  0.500  0.000  0.373
Cd  0.000  0.000  0.000
Pm  0.000  0.000  0.752
Y  0.000  0.500  0.627
Y  0.500  0.500  0.000
Y  0.000  0.500  0.120
Pm  0.000  0.000  0.248
Y  0.000  0.500  0.373
Y  0.000  0.500  0.880
Y  0.500  0.500  0.757
Y  0.500  0.500  0.243
Y  0.500  0.000  0.120
Y  0.500  0.000  0.880
Pm  0.000  0.000  0.500
Y  0.500  0.000  0.627

Computed properties:
The total energy is -5.7985 eV/atom. The calculation puts the formation energy at 0.00 eV per atom. As for the space group: P4/mmm (123). The calculation puts the spin magnetization at 0.0 μB per formula unit.

---

Computed, not measured: an optimized crystal structure of PmY3Cd2 at the PBE-GGA level of DFT.

Cell: 3.699 3.699 12.654 Å, 90.00 90.00 90.00°
Fractional positions:
Pm  0.500  0.500  0.500
Y  0.000  0.000  0.000
Cd  0.500  0.500  0.849
Y  0.000  0.000  0.302
Cd  0.500  0.500  0.151
Y  0.000  0.000  0.698

Computed properties:
The total energy is -4.5516 eV/atom. The calculation puts the formation energy at -0.22 eV per atom. As for the space group: P4/mmm (123). The calculation puts the spin magnetization at 0.0 μB per formula unit.

---

Computed, not measured: an optimized crystal structure of PmY3Cd at the PBE-GGA level of DFT.

Cell: 3.716 6.781 12.698 Å, 86.98 90.00 74.10°
Fractional positions:
Pm  0.233  0.535  0.752
Y  0.036  0.928  0.189
Pm  0.767  0.465  0.248
Cd  0.445  0.109  0.372
Y  0.365  0.269  0.023
Cd  0.555  0.891  0.628
Y  0.635  0.731  0.977
Y  0.856  0.288  0.551
Y  0.144  0.712  0.449
Y  0.964  0.072  0.811

Computed properties:
The total energy is -5.1285 eV/atom. The calculation puts the formation energy at -0.12 eV per atom. As for the space group: C2/m (12). The value obtained for the polymorph energy (0 for the lowest one) is 0.000 eV per atom. The calculation puts the spin magnetization at 0.1 μB per formula unit.

---

Computed, not measured: an optimized crystal structure of Pm8YCd2 at the PBE-GGA level of DFT.

Cell: 5.220 8.977 8.977 Å, 75.22 81.30 81.30°
Fractional positions:
Pm  0.213  0.838  0.365
Cd  0.551  0.881  0.881
Cd  0.449  0.119  0.119
Pm  0.213  0.365  0.838
Pm  0.292  0.417  0.417
Pm  0.787  0.635  0.162
Pm  0.128  0.760  0.760
Y  0.000  0.000  0.000
Pm  0.708  0.583  0.583
Pm  0.872  0.240  0.240
Pm  0.787  0.162  0.635

Computed properties:
The total energy is -3.9320 eV/atom. The calculation puts the formation energy at 0.28 eV per atom. As for the space group: C2/m (12). The calculation puts the spin magnetization at 0.0 μB per formula unit.

---

Computed, not measured: an optimized crystal structure of Pm3YCd4 at the PBE-GGA level of DFT.

Cell: 5.390 5.390 9.352 Å, 73.25 73.25 60.00°
Site moments in Bohr magnetons follow the coordinates.
Fractional positions:
Y  0.000  0.000  0.000  0.15
Cd  0.124  0.124  0.629  0.02
Pm  0.250  0.250  0.249  0.17
Cd  0.876  0.876  0.371  0.02
Pm  0.500  0.500  0.500  0.20
Cd  0.626  0.626  0.122  0.01
Cd  0.374  0.374  0.878  0.01
Pm  0.750  0.750  0.751  0.17

Computed properties:
The total energy is -3.3739 eV/atom. The calculation puts the formation energy at -0.33 eV per atom. As for the space group: R-3m (166). The calculation puts the spin magnetization at 1.5 μB per formula unit.

---

Computed, not measured: an optimized crystal structure of Pm6Y2Cd at the PBE-GGA level of DFT.

Cell: 3.629 9.704 9.703 Å, 120.00 90.00 90.00°
Fractional positions:
Cd  0.500  0.000  0.000
Y  0.000  0.667  0.333
Pm  0.000  0.717  0.717
Pm  0.000  0.283  0.000
Pm  0.500  0.373  0.373
Pm  0.000  0.000  0.283
Pm  0.500  0.627  0.000
Y  0.000  0.333  0.667
Pm  0.500  0.000  0.627

Computed properties:
The total energy is -4.7569 eV/atom. The calculation puts the formation energy at -0.05 eV per atom. As for the space group: P-62m (189). The value obtained for the polymorph energy (0 for the lowest one) is 0.000 eV per atom. The calculation puts the spin magnetization at 0.0 μB per formula unit.

---

Computed, not measured: an optimized crystal structure of PmY2Cd2 at the PBE-GGA level of DFT.

Cell: 3.759 5.426 13.985 Å, 90.00 97.73 90.00°
Fractional positions:
Cd  0.451  0.750  0.903
Y  0.047  0.750  0.093
Pm  0.851  0.750  0.705
Cd  0.642  0.750  0.283
Cd  0.358  0.250  0.717
Pm  0.149  0.250  0.295
Y  0.236  0.750  0.472
Y  0.953  0.250  0.907
Cd  0.549  0.250  0.097
Y  0.764  0.250  0.528

Computed properties:
The total energy is -4.1715 eV/atom. The calculation puts the formation energy at -0.27 eV per atom. As for the space group: P2_1/m (11). The value obtained for the polymorph energy (0 for the lowest one) is 0.000 eV per atom. The calculation puts the spin magnetization at 0.0 μB per formula unit.

---

Computed, not measured: an optimized crystal structure of Pm3YCd2 at the PBE-GGA level of DFT.

Cell: 5.351 6.960 9.648 Å, 90.00 90.00 90.00°
Fractional positions:
Cd  0.000  0.278  0.648
Pm  0.000  0.815  0.674
Y  0.500  0.517  0.544
Pm  0.000  0.484  0.955
Cd  0.500  0.222  0.153
Y  0.500  0.017  0.456
Pm  0.500  0.184  0.822
Pm  0.500  0.684  0.178
Cd  0.500  0.722  0.847
Cd  0.000  0.778  0.352
Pm  0.000  0.315  0.326
Pm  0.000  0.984  0.045

Computed properties:
The total energy is -3.9706 eV/atom. The calculation puts the formation energy at -0.21 eV per atom. As for the space group: Pmc2_1 (26). The value obtained for the polymorph energy (0 for the lowest one) is 0.000 eV per atom. The calculation puts the spin magnetization at 0.0 μB per formula unit.